No. 1
Entry from Alexandria: a geometry-optimized Tm2GaNi5 structure (PBE).

The structure in POSCAR format:
```
Tm2GaNi5
1.0
5.5283 0.0833 0.1187
-2.6493 4.8529 -0.1187
-2.6493 -1.7624 4.5231
Tm Ga Ni
2 1 5
Direct
0.5000 0.2517 0.7517 Tm
0.5000 0.7517 0.2517 Tm
0.0000 0.9336 0.9336 Ga
0.4296 0.7206 0.7206 Ni
0.0000 0.7206 0.2910 Ni
0.0000 0.2910 0.7206 Ni
0.5704 0.2910 0.2910 Ni
0.0000 0.2619 0.2619 Ni
```

Properties
Calculated formation energy   -372 meV per atom

=====

No. 2
Entry from Alexandria: a geometry-optimized AsPbI structure (PBE).

The structure in POSCAR format:
```
AsPbI
1.0
-1.1891 -1.8407 -3.4766
3.4501 -2.4493 0.1170
-6.1093 -7.8880 6.2898
Pb I As
2 2 2
Direct
0.2514 0.6664 0.2054 Pb
0.7486 0.3336 0.7946 Pb
0.2481 0.7824 0.6553 I
0.7519 0.2176 0.3447 I
0.2500 0.1883 0.0037 As
0.7500 0.8117 0.9963 As
```

Properties
Formation energy (no corrections)   -0.78 eV per formula unit

=====

No. 3
Entry from Alexandria: a geometry-optimized GaNiPt6 structure (PBE).

The structure in POSCAR format:
```
GaNiPt6
1.0
5.1680 0.4289 0.4852
-0.1381 5.1839 0.4852
-0.1381 -0.1541 5.2043
Ga Ni Pt
1 1 6
Direct
0.0000 0.0000 0.0000 Ga
0.5000 0.5000 0.5000 Ni
0.1703 0.5476 0.1703 Pt
0.1703 0.1703 0.5476 Pt
0.8297 0.4524 0.8297 Pt
0.4524 0.8297 0.8297 Pt
0.8297 0.8297 0.4524 Pt
0.5476 0.1703 0.1703 Pt
```

Properties
Calculated formation energy   160 meV per atom

=====

No. 4
Entry from Alexandria: a geometry-optimized Ca3CeNi8 structure (PBE).

The structure in POSCAR format:
```
Ca3CeNi8
1.0
5.0887 0.0000 0.0000
2.5444 4.4069 0.0000
2.5444 1.4690 8.2851
Ca Ce Ni
3 1 8
Direct
0.3740 0.3740 0.8781 Ca
0.0026 0.0026 0.9921 Ca
0.4974 0.4974 0.5077 Ca
0.8751 0.8751 0.3748 Ce
0.9330 0.4378 0.1915 Ni
0.4416 0.9377 0.6829 Ni
0.4378 0.4378 0.1915 Ni
0.9377 0.9377 0.6829 Ni
0.1874 0.1874 0.4379 Ni
0.6879 0.6879 0.9362 Ni
0.4378 0.9330 0.1915 Ni
0.9377 0.4416 0.6829 Ni
```

Properties
Calculated formation energy   -244 meV per atom

=====

No. 5
Entry from Alexandria: a geometry-optimized Mn3W4 structure (PBE).

The structure in POSCAR format:
```
Mn3W4
1.0
-3.1025 -3.4887 -1.1167
0.6260 -2.5789 -4.0001
2.7269 -3.2277 2.5076
Mn W
3 4
Direct
0.5000 0.5000 0.0000 Mn
0.0000 0.5000 0.0000 Mn
0.5000 0.0000 0.0000 Mn
0.0000 0.0000 0.2509 W
0.0000 0.0000 0.7491 W
0.3333 0.3333 0.5000 W
0.6667 0.6667 0.5000 W
```

Properties
Calculated formation energy   25 meV per atom

=====

No. 6
Entry from Alexandria: a geometry-optimized TiCoTe2 structure (PBE).

The structure in POSCAR format:
```
TiCoTe2
1.0
6.1056 0.0000 0.0000
0.0000 6.1056 0.0000
3.0528 3.0528 5.8939
Te Co Ti
4 2 2
Direct
0.6493 0.1250 0.2500 Te
0.1007 0.6250 0.2500 Te
0.3750 0.3507 0.7500 Te
0.8750 0.8993 0.7500 Te
0.0000 0.0000 0.0000 Co
0.7500 0.2500 0.5000 Co
0.5000 0.5000 0.0000 Ti
0.2500 0.7500 0.5000 Ti
```

Properties
Formation energy (no corrections)   -0.16 eV per formula unit

=====

No. 7
Entry from Alexandria: a geometry-optimized InAg2Se structure (PBE).

The structure in POSCAR format:
```
InAg2Se
1.0
-1.2898 -4.2304 -0.7552
4.2445 -1.1310 -0.9139
0.6266 -0.9121 4.0390
Ag In Se
2 1 1
Direct
0.0000 0.0000 0.0000 Ag
0.5000 0.5000 0.0000 Ag
0.5000 0.0000 0.5000 In
0.0000 0.5000 0.5000 Se
```

Properties
Formation energy (no corrections)   0.09 eV per formula unit

=====

No. 8
Entry from Alexandria: a geometry-optimized ThAlCo4C2 structure (PBE).

The structure in POSCAR format:
```
ThAlCo4C2
1.0
3.5711 0.0000 0.0000
0.0000 3.5711 0.0000
0.0000 0.0000 7.9398
Th Al Co C
1 1 4 2
Direct
0.0000 0.0000 0.5000 Th
0.0000 0.0000 0.0000 Al
0.0000 0.5000 0.2109 Co
0.5000 0.0000 0.7891 Co
0.5000 0.0000 0.2109 Co
0.0000 0.5000 0.7891 Co
0.5000 0.5000 0.2953 C
0.5000 0.5000 0.7047 C
```

Properties
Calculated formation energy   -141 meV per atom

=====

No. 9
Entry from Alexandria: a geometry-optimized Sr3TbHo3Te8 structure (PBE).

The structure in POSCAR format:
```
Sr3TbHo3Te8
1.0
-0.5790 -2.3084 -8.5387
0.9600 -6.2368 6.2220
-8.0127 4.4158 -0.6504
Sr Tb Ho Te
3 1 3 8
Direct
0.0000 0.0000 0.0000 Sr
0.0000 0.5000 0.0000 Sr
0.5000 0.5000 0.0000 Sr
0.0000 0.0000 0.5000 Tb
0.5000 0.0000 0.5000 Ho
0.5000 0.5000 0.5000 Ho
0.0000 0.5000 0.5000 Ho
0.2568 0.5136 0.2705 Te
0.7432 0.4864 0.7295 Te
0.7532 0.5063 0.2691 Te
0.2468 0.4937 0.7309 Te
0.7532 0.0159 0.2691 Te
0.2468 0.9841 0.7309 Te
0.2627 0.0159 0.2691 Te
0.7373 0.9841 0.7309 Te
```

Properties
Formation energy (no corrections)   -22.59 eV per formula unit

=====

No. 10
Entry from Alexandria: a geometry-optimized GeTe3S structure (PBE).

The structure in POSCAR format:
```
GeTe3S
1.0
5.3729 0.0000 0.0000
0.0000 5.3729 0.0000
0.0000 0.0000 5.3729
Ge Te S
1 3 1
Direct
0.0000 0.0000 0.0000 Ge
0.0000 0.5000 0.0000 Te
0.0000 0.0000 0.5000 Te
0.5000 0.0000 0.0000 Te
0.5000 0.5000 0.5000 S
```

Properties
Formation energy (no corrections)   4.12 eV per formula unit

=====

No. 11
Entry from Alexandria: a geometry-optimized TiVAg2Pb structure (PBE).

The structure in POSCAR format:
```
TiVAg2Pb
1.0
4.9386 0.0000 0.0000
0.0000 5.2324 0.0000
0.0000 0.0000 4.9386
Pb Ti Ag V
1 1 2 1
Direct
0.0000 0.5000 0.0000 Pb
0.0000 0.0000 0.0000 Ti
0.0000 0.0000 0.5000 Ag
0.5000 0.0000 0.0000 Ag
0.5000 0.5000 0.5000 V
```

Properties
Calculated formation energy   1408 meV per atom

=====

No. 12
Entry from Alexandria: a geometry-optimized BaCd2Cl2 structure (PBE).

The structure in POSCAR format:
```
BaCd2Cl2
1.0
-1.8528 -2.5383 -5.1374
5.1560 1.6174 -2.6587
3.6133 -4.5530 -2.5834
Cl Ba Cd
2 1 2
Direct
0.7500 0.2500 0.5000 Cl
0.2500 0.7500 0.5000 Cl
0.0000 0.0000 0.0000 Ba
0.3516 0.3516 0.2969 Cd
0.6484 0.6484 0.7031 Cd
```

Properties
Formation energy (no corrections)   -4.17 eV per formula unit

=====

No. 13
Entry from Alexandria: a geometry-optimized PuTl2I2Cl4 structure (PBE).

The structure in POSCAR format:
```
PuTl2I2Cl4
1.0
7.8829 -0.3606 -0.5204
-4.1002 6.7422 0.5204
-4.1002 -1.8815 6.4953
Pu Tl I Cl
1 2 2 4
Direct
0.0000 0.0000 0.0000 Pu
0.5000 0.7500 0.2500 Tl
0.5000 0.2500 0.7500 Tl
0.0000 0.7425 0.7425 I
0.0000 0.2575 0.2575 I
0.0000 0.7558 0.2442 Cl
0.5116 0.7558 0.7558 Cl
0.0000 0.2442 0.7558 Cl
0.4884 0.2442 0.2442 Cl
```

Properties
Formation energy (no corrections)   -10.69 eV per formula unit

=====

No. 14
Entry from Alexandria: a geometry-optimized DyZrHgPb structure (PBE).

The structure in POSCAR format:
```
DyZrHgPb
1.0
-1.6016 -3.6416 -3.3413
2.4659 -4.5662 -0.2443
-2.3191 -4.3022 1.7616
Pb Hg Zr Dy
1 1 1 1
Direct
0.2500 0.2500 0.2500 Pb
0.7500 0.7500 0.7500 Hg
0.5000 0.5000 0.5000 Zr
0.0000 0.0000 0.0000 Dy
```

Properties
Calculated formation energy   -215 meV per atom

=====

No. 15
Entry from Alexandria: a geometry-optimized SmAl5Ag2 structure (PBE).

The structure in POSCAR format:
```
SmAl5Ag2
1.0
3.8900 0.0000 1.2877
1.3482 6.0000 2.4468
-0.0327 0.0060 6.6184
Sm Al Ag
1 5 2
Direct
0.0000 0.0000 0.0000 Sm
0.0000 0.5000 0.5000 Al
0.6385 0.5485 0.1744 Al
0.3615 0.4515 0.8256 Al
0.3615 0.8256 0.4515 Al
0.6385 0.1744 0.5485 Al
0.7449 0.7551 0.7551 Ag
0.2551 0.2449 0.2449 Ag
```

Properties
Calculated formation energy   -209 meV per atom

=====

No. 16
Entry from Alexandria: a geometry-optimized Al2AsIr2 structure (PBE).

The structure in POSCAR format:
```
Al2AsIr2
1.0
-4.4679 -4.0636 4.1451
-1.1772 -4.4878 -5.6684
2.2273 -1.6158 0.8167
As Ir Al
2 4 4
Direct
0.0000 0.0000 0.0000 As
0.5000 0.5000 0.0000 As
0.3410 0.8410 0.0000 Ir
0.8410 0.6590 0.0000 Ir
0.6590 0.1590 0.0000 Ir
0.1590 0.3410 0.0000 Ir
0.1368 0.6368 0.5000 Al
0.6368 0.8632 0.5000 Al
0.8632 0.3632 0.5000 Al
0.3632 0.1368 0.5000 Al
```

Properties
Calculated formation energy   -503 meV per atom

=====

No. 17
Entry from Alexandria: a geometry-optimized ZrCoSb3 structure (PBE).

The structure in POSCAR format:
```
ZrCoSb3
1.0
5.4989 0.0000 0.0000
0.0000 5.4989 0.0000
0.0000 0.0000 5.4989
Sb Co Zr
3 1 1
Direct
0.0000 0.5000 0.0000 Sb
0.0000 0.0000 0.5000 Sb
0.5000 0.0000 0.0000 Sb
0.5000 0.5000 0.5000 Co
0.0000 0.0000 0.0000 Zr
```

Properties
Formation energy (no corrections)   4.52 eV per formula unit

=====

No. 18
Entry from Alexandria: a geometry-optimized LiCaTm2Rh4 structure (PBE).

The structure in POSCAR format:
```
LiCaTm2Rh4
1.0
4.6398 0.0000 0.0000
2.3199 4.0182 0.0000
2.3199 1.3394 7.6574
Li Ca Tm Rh
1 1 2 4
Direct
0.5000 0.5000 0.5000 Li
0.0000 0.0000 0.0000 Ca
0.7554 0.7554 0.7337 Tm
0.2446 0.2446 0.2663 Tm
0.3791 0.3791 0.8627 Rh
0.8731 0.8731 0.3808 Rh
0.1269 0.1269 0.6192 Rh
0.6209 0.6209 0.1373 Rh
```

Properties
Calculated formation energy   -603 meV per atom

=====

No. 19
Entry from Alexandria: a geometry-optimized CoCuHg2 structure (PBE).

The structure in POSCAR format:
```
CoCuHg2
1.0
-1.0067 4.2210 -2.8075
-4.4247 2.4061 1.1598
4.0510 -1.7560 2.6867
Co Cu Hg
1 1 2
Direct
0.5000 0.5000 0.0000 Co
0.7500 0.2500 0.5000 Cu
0.0000 0.0000 0.0000 Hg
0.2500 0.7500 0.5000 Hg
```

Properties
Calculated formation energy   445 meV per atom

=====

No. 20
Entry from Alexandria: a geometry-optimized TaCo2Ir2 structure (PBE).

The structure in POSCAR format:
```
TaCo2Ir2
1.0
-6.6570 -2.3149 -1.0937
1.4756 -5.9589 3.6310
-0.8123 1.2278 2.3452
Ir Co Ta
4 4 2
Direct
0.3695 0.8695 0.0000 Ir
0.8695 0.6305 0.0000 Ir
0.6305 0.1305 0.0000 Ir
0.1305 0.3695 0.0000 Ir
0.1682 0.6682 0.5000 Co
0.6682 0.8318 0.5000 Co
0.8318 0.3318 0.5000 Co
0.3318 0.1682 0.5000 Co
0.0000 0.0000 0.0000 Ta
0.5000 0.5000 0.0000 Ta
```

Properties
Calculated formation energy   -32 meV per atom

=====

No. 21
Entry from Alexandria: a geometry-optimized ThAlZn2Ni structure (PBE).

The structure in POSCAR format:
```
ThAlZn2Ni
1.0
3.8682 0.0000 0.0000
0.0000 4.1348 0.0000
-1.9341 -2.0674 5.6759
Th Al Zn Ni
1 1 2 1
Direct
0.4306 0.4306 0.8612 Th
0.1956 0.6956 0.3911 Al
0.6999 0.1999 0.3998 Zn
0.0512 0.0512 0.1023 Zn
0.8349 0.8349 0.6698 Ni
```

Properties
Calculated formation energy   -394 meV per atom